*P*
An optimized crystal structure of KHfP3, computed with PBE-GGA.

Lattice parameters (Å, degrees): 5.0498 5.0498 5.0498 90.00 90.00 90.00
With the nearest neighbours (Å) after each atom.
Space group Pm-3m (No. 221)
Inequivalent atoms, fractional coordinates:
1 K 0.0000 0.0000 0.0000  12 P 3.57
2 Hf 0.5000 0.5000 0.5000  6 P 2.52
3 P 0.0000 0.5000 0.5000  2 Hf 2.52

Values from the calculation:
The magnetization comes out at 0.00 μB per formula unit. Its density of states at the Fermi level is 4.416 states/eV/cell.

***

*Q*
An optimized crystal structure of KHfP3, computed with PBE-GGA.

Lattice parameters (Å, degrees): 4.8805 4.8805 4.8805 90.00 90.00 90.00
With the nearest neighbours (Å) after each atom.
Space group Pm-3m (No. 221)
Inequivalent atoms, fractional coordinates:
1 K 0.0000 0.0000 0.0000  6 P 2.44
2 Hf 0.5000 0.5000 0.5000  12 P 3.45
3 P 0.0000 0.0000 0.5000  2 K 2.44

Values from the calculation:
The magnetization comes out at 0.00 μB per formula unit. Its density of states at the Fermi level is 2.970 states/eV/cell.

***

Pick *P*: it beats the second-best structure by 1951 meV per atom.

***

*P*
An optimized crystal structure of K3HfP, computed with PBE-GGA.

Lattice parameters (Å, degrees): 6.2253 6.2253 6.2253 90.00 90.00 90.00
With the nearest neighbours (Å) after each atom.
Space group Pm-3m (No. 221)
Inequivalent atoms, fractional coordinates:
1 K 0.0000 0.0000 0.5000  2 P 3.11
2 Hf 0.5000 0.5000 0.5000  12 K 4.40
3 P 0.0000 0.0000 0.0000  6 K 3.11

Values from the calculation:
The magnetization comes out at 2.00 μB per formula unit. Its density of states at the Fermi level is 3.044 states/eV/cell.

***

*Q*
An optimized crystal structure of K3HfP, computed with PBE-GGA.

Lattice parameters (Å, degrees): 6.5333 6.5333 6.5333 90.00 90.00 90.00
With the nearest neighbours (Å) after each atom.
Space group Pm-3m (No. 221)
Inequivalent atoms, fractional coordinates:
1 K 0.0000 0.0000 0.5000  2 Hf 3.27
2 Hf 0.0000 0.0000 0.0000  6 K 3.27
3 P 0.5000 0.5000 0.5000  12 K 4.62

Values from the calculation:
The magnetization comes out at 2.00 μB per formula unit. Its density of states at the Fermi level is 3.044 states/eV/cell.

***

Pick *P*: it beats the second-best structure by 560 meV per atom.

***

*P*
An optimized crystal structure of KHfP2S, computed with PBE-GGA.

Lattice parameters (Å, degrees): 5.0566 5.0566 5.0403 90.00 90.00 90.00
With the nearest neighbours (Å) after each atom.
Space group P4/mmm (No. 123)
Inequivalent atoms, fractional coordinates:
1 K 0.0000 0.0000 0.0000  8 P 3.57, 4 S 3.58
2 Hf 0.5000 0.5000 0.5000  2 S 2.52, 4 P 2.53
3 P 0.0000 0.5000 0.5000  2 Hf 2.53
4 S 0.5000 0.5000 0.0000  2 Hf 2.52

Values from the calculation:
The magnetization comes out at 0.00 μB per formula unit. Its density of states at the Fermi level is 4.404 states/eV/cell.

***

*Q*
An optimized crystal structure of KHfP2S, computed with PBE-GGA.

Lattice parameters (Å, degrees): 4.8552 4.8552 5.0615 90.00 90.00 90.00
With the nearest neighbours (Å) after each atom.
Space group P4/mmm (No. 123)
Inequivalent atoms, fractional coordinates:
1 K 0.0000 0.0000 0.0000  4 P 2.43, 2 S 2.53
2 Hf 0.5000 0.5000 0.5000  4 S 3.43, 8 P 3.51
3 P 0.0000 0.5000 0.0000  2 K 2.43
4 S 0.0000 0.0000 0.5000  2 K 2.53

Values from the calculation:
The magnetization comes out at 0.00 μB per formula unit. Its density of states at the Fermi level is 4.432 states/eV/cell.

***

Pick *P*: it beats the second-best structure by 2024 meV per atom.

***

*P*
An optimized crystal structure of KHfPd3, computed with PBE-GGA.

Lattice parameters (Å, degrees): 4.8321 4.8321 4.8321 90.00 90.00 90.00
With the nearest neighbours (Å) after each atom.
Space group Pm-3m (No. 221)
Inequivalent atoms, fractional coordinates:
1 K 0.0000 0.0000 0.0000  6 Pd 2.42
2 Hf 0.5000 0.5000 0.5000  12 Pd 3.42
3 Pd 0.0000 0.0000 0.5000  2 K 2.42

Values from the calculation:
The magnetization comes out at 0.00 μB per formula unit. Its density of states at the Fermi level is 11.552 states/eV/cell.

***

*Q*
An optimized crystal structure of KHfPd3, computed with PBE-GGA.

Lattice parameters (Å, degrees): 5.0447 5.0447 5.0447 90.00 90.00 90.00
With the nearest neighbours (Å) after each atom.
Space group Pm-3m (No. 221)
Inequivalent atoms, fractional coordinates:
1 K 0.0000 0.0000 0.0000  12 Pd 3.57
2 Hf 0.5000 0.5000 0.5000  6 Pd 2.52
3 Pd 0.0000 0.5000 0.5000  2 Hf 2.52

Values from the calculation:
The magnetization comes out at 0.00 μB per formula unit. Its density of states at the Fermi level is 3.141 states/eV/cell.

***

Pick *Q*: it beats the second-best structure by 1120 meV per atom.

***

*P*
An optimized crystal structure of K2HfPd, computed with PBE-GGA.

Lattice parameters (Å, degrees): 7.9486 7.9486 7.9486 90.00 90.00 90.00
With the nearest neighbours (Å) after each atom.
Space group Fm-3m (No. 225)
Inequivalent atoms, fractional coordinates:
1 K 0.2500 0.2500 0.2500  4 Hf 3.44, 4 Pd 3.44
2 Hf 0.0000 0.0000 0.0000  8 K 3.44
3 Pd 0.0000 0.0000 0.5000  8 K 3.44

Values from the calculation:
The magnetization comes out at 2.17 μB per formula unit. Its density of states at the Fermi level is 21.520 states/eV/cell.

***

*Q*
An optimized crystal structure of K2HfPd, computed with PBE-GGA.

Lattice parameters (Å, degrees): 12.0474 12.0474 4.9697 90.00 90.00 90.00
With the nearest neighbours (Å) after each atom.
Space group I-42d (No. 122)
Inequivalent atoms, fractional coordinates:
1 K 0.1083 0.2500 0.1250  2 Pd 3.34
2 Hf 0.0000 0.0000 0.5000  2 Pd 2.48
3 Pd 0.0000 0.0000 0.0000  2 Hf 2.48

Values from the calculation:
The magnetization comes out at 0.00 μB per formula unit. Its density of states at the Fermi level is 25.395 states/eV/cell.

***

Pick *Q*: it beats the second-best structure by 524 meV per atom.

***

*P*
An optimized crystal structure of KHfPt3, computed with PBE-GGA.

Lattice parameters (Å, degrees): 4.8321 4.8321 4.8321 90.00 90.00 90.00
With the nearest neighbours (Å) after each atom.
Space group Pm-3m (No. 221)
Inequivalent atoms, fractional coordinates:
1 K 0.0000 0.0000 0.0000  6 Pt 2.42
2 Hf 0.5000 0.5000 0.5000  12 Pt 3.42
3 Pt 0.0000 0.0000 0.5000  2 K 2.42

Values from the calculation:
The magnetization comes out at 0.00 μB per formula unit. Its density of states at the Fermi level is 6.648 states/eV/cell.

***

*Q*
An optimized crystal structure of KHfPt3, computed with PBE-GGA.

Lattice parameters (Å, degrees): 5.0660 5.0660 5.0660 90.00 90.00 90.00
With the nearest neighbours (Å) after each atom.
Space group Pm-3m (No. 221)
Inequivalent atoms, fractional coordinates:
1 K 0.0000 0.0000 0.0000  12 Pt 3.58
2 Hf 0.5000 0.5000 0.5000  6 Pt 2.53
3 Pt 0.0000 0.5000 0.5000  2 Hf 2.53

Values from the calculation:
The magnetization comes out at 0.00 μB per formula unit. Its density of states at the Fermi level is 4.033 states/eV/cell.

***

Pick *Q*: it beats the second-best structure by 1532 meV per atom.

***

*P*
An optimized crystal structure of KHf3Pt, computed with PBE-GGA.

Lattice parameters (Å, degrees): 4.7350 4.7350 4.7350 90.00 90.00 90.00
With the nearest neighbours (Å) after each atom.
Space group Pm-3m (No. 221)
Inequivalent atoms, fractional coordinates:
1 K 0.0000 0.0000 0.0000  6 Hf 2.37
2 Hf 0.0000 0.0000 0.5000  2 K 2.37
3 Pt 0.5000 0.5000 0.5000  12 Hf 3.35

Values from the calculation:
The magnetization comes out at 0.00 μB per formula unit. Its density of states at the Fermi level is 5.952 states/eV/cell.

***

*Q*
An optimized crystal structure of KHf3Pt, computed with PBE-GGA.

Lattice parameters (Å, degrees): 5.2068 5.2068 5.2068 90.00 90.00 90.00
With the nearest neighbours (Å) after each atom.
Space group Pm-3m (No. 221)
Inequivalent atoms, fractional coordinates:
1 K 0.0000 0.0000 0.0000  12 Hf 3.68
2 Hf 0.0000 0.5000 0.5000  2 Pt 2.60
3 Pt 0.5000 0.5000 0.5000  6 Hf 2.60

Values from the calculation:
The magnetization comes out at 0.00 μB per formula unit. Its density of states at the Fermi level is 6.143 states/eV/cell.

***

Pick *Q*: it beats the second-best structure by 1592 meV per atom.

***

*P*
An optimized crystal structure of K2HfPt, computed with PBE-GGA.

Lattice parameters (Å, degrees): 11.9870 11.9870 4.9790 90.00 90.00 90.00
With the nearest neighbours (Å) after each atom.
Space group I-42d (No. 122)
Inequivalent atoms, fractional coordinates:
1 K 0.1049 0.2500 0.1250  2 Pt 3.31
2 Hf 0.0000 0.0000 0.5000  2 Pt 2.49
3 Pt 0.0000 0.0000 0.0000  2 Hf 2.49

Values from the calculation:
The magnetization comes out at 0.00 μB per formula unit. Its density of states at the Fermi level is 19.525 states/eV/cell.

***

*Q*
An optimized crystal structure of K2HfPt, computed with PBE-GGA.

Lattice parameters (Å, degrees): 7.7607 7.7607 7.7607 90.00 90.00 90.00
With the nearest neighbours (Å) after each atom.
Space group Fm-3m (No. 225)
Inequivalent atoms, fractional coordinates:
1 K 0.2500 0.2500 0.2500  4 Hf 3.36, 4 Pt 3.36
2 Hf 0.0000 0.0000 0.0000  8 K 3.36
3 Pt 0.0000 0.0000 0.5000  8 K 3.36

Values from the calculation:
The magnetization comes out at 2.07 μB per formula unit. Its density of states at the Fermi level is 21.750 states/eV/cell.

***

Pick *P*: it beats the second-best structure by 725 meV per atom.

***

*P*
An optimized crystal structure of KHfSn2Pt, computed with PBE-GGA.

Lattice parameters (Å, degrees): 5.4600 5.4600 5.9065 90.00 90.00 90.00
With the nearest neighbours (Å) after each atom.
Space group P4/mmm (No. 123)
Inequivalent atoms, fractional coordinates:
1 K 0.0000 0.0000 0.0000  2 Hf 2.95
2 Hf 0.0000 0.0000 0.5000  4 Sn 2.73, 2 K 2.95
3 Sn 0.0000 0.5000 0.5000  2 Hf 2.73
4 Pt 0.5000 0.5000 0.0000  4 K 3.86, 8 Sn 4.02

Values from the calculation:
The magnetization comes out at 0.53 μB per formula unit. Its density of states at the Fermi level is 5.364 states/eV/cell.

***

*Q*
An optimized crystal structure of KHfSn2Pt, computed with PBE-GGA.

Lattice parameters (Å, degrees): 5.1872 5.1872 5.4614 90.00 90.00 90.00
With the nearest neighbours (Å) after each atom.
Space group P4/mmm (No. 123)
Inequivalent atoms, fractional coordinates:
1 K 0.0000 0.0000 0.0000  2 Pt 2.73
2 Hf 0.5000 0.5000 0.0000  4 K 3.67, 8 Sn 3.77
3 Sn 0.0000 0.5000 0.5000  2 Pt 2.59
4 Pt 0.0000 0.0000 0.5000  4 Sn 2.59, 2 K 2.73

Values from the calculation:
The magnetization comes out at 0.77 μB per formula unit. Its density of states at the Fermi level is 3.766 states/eV/cell.

***

Pick *Q*: it beats the second-best structure by 530 meV per atom.

***

*P*
An optimized crystal structure of KRb2Hf, computed with PBE-GGA.

Lattice parameters (Å, degrees): 10.7668 10.7668 8.0529 90.00 90.00 90.00
With the nearest neighbours (Å) after each atom.
Space group I-42d (No. 122)
Inequivalent atoms, fractional coordinates:
1 K 0.0000 0.0000 0.0000  2 Hf 4.03, 4 Rb 4.03
2 Rb 0.2380 0.2500 0.6250  2 Hf 3.85, 2 K 4.03, 2 Rb 4.03
3 Hf 0.0000 0.0000 0.5000  4 Rb 3.85, 2 K 4.03

Values from the calculation:
The magnetization comes out at 3.00 μB per formula unit. Its density of states at the Fermi level is 23.512 states/eV/cell.

***

*Q*
An optimized crystal structure of KRb2Hf, computed with PBE-GGA.

Lattice parameters (Å, degrees): 9.5730 9.5730 9.5730 90.00 90.00 90.00
With the nearest neighbours (Å) after each atom.
Space group Fm-3m (No. 225)
Inequivalent atoms, fractional coordinates:
1 K 0.0000 0.0000 0.0000  8 Rb 4.15
2 Rb 0.2500 0.2500 0.2500  4 Hf 4.15, 4 K 4.15
3 Hf 0.0000 0.0000 0.5000  8 Rb 4.15

Values from the calculation:
The magnetization comes out at 2.97 μB per formula unit. Its density of states at the Fermi level is 10.948 states/eV/cell.

***

Pick *Q*: it beats the second-best structure by 109 meV per atom.

***

*P*
An optimized crystal structure of KHfRe2, computed with PBE-GGA.

Lattice parameters (Å, degrees): 4.7635 4.7635 19.0070 90.00 90.00 90.00
With the nearest neighbours (Å) after each atom.
Space group I-42d (No. 122)
Inequivalent atoms, fractional coordinates:
1 K 0.0000 0.0000 0.0000  4 Re 3.35, 4 Hf 3.37
2 Hf 0.0000 0.0000 0.5000  4 Re 2.68
3 Re 0.0734 0.7500 0.6250  2 Re 2.48, 2 Hf 2.68

Values from the calculation:
The magnetization comes out at 0.00 μB per formula unit. Its density of states at the Fermi level is 21.446 states/eV/cell.

***

*Q*
An optimized crystal structure of KHfRe2, computed with PBE-GGA.

Lattice parameters (Å, degrees): 6.7426 6.7426 6.7426 90.00 90.00 90.00
With the nearest neighbours (Å) after each atom.
Space group Fm-3m (No. 225)
Inequivalent atoms, fractional coordinates:
1 K 0.0000 0.0000 0.0000  8 Re 2.92
2 Hf 0.0000 0.0000 0.5000  8 Re 2.92
3 Re 0.2500 0.2500 0.2500  4 Hf 2.92, 4 K 2.92

Values from the calculation:
The magnetization comes out at 0.00 μB per formula unit. Its density of states at the Fermi level is 17.755 states/eV/cell.

***

Pick *Q*: it beats the second-best structure by 61 meV per atom.

***

*P*
An optimized crystal structure of KHf2Re, computed with PBE-GGA.

Lattice parameters (Å, degrees): 6.9237 6.9237 6.9237 90.00 90.00 90.00
With the nearest neighbours (Å) after each atom.
Space group Fm-3m (No. 225)
Inequivalent atoms, fractional coordinates:
1 K 0.0000 0.0000 0.0000  8 Hf 3.00
2 Hf 0.2500 0.2500 0.2500  4 K 3.00, 4 Re 3.00
3 Re 0.0000 0.0000 0.5000  8 Hf 3.00

Values from the calculation:
The magnetization comes out at 0.00 μB per formula unit. Its density of states at the Fermi level is 21.056 states/eV/cell.

***

*Q*
An optimized crystal structure of KHf2Re, computed with PBE-GGA.

Lattice parameters (Å, degrees): 6.6488 6.6488 14.7506 90.00 90.00 90.00
With the nearest neighbours (Å) after each atom.
Space group I-42d (No. 122)
Inequivalent atoms, fractional coordinates:
1 K 0.0000 0.0000 0.0000  8 Hf 4.14-4.16
2 Hf 0.0012 0.2500 0.6250  2 Re 2.48
3 Re 0.0000 0.0000 0.5000  4 Hf 2.48

Values from the calculation:
The magnetization comes out at 0.00 μB per formula unit. Its density of states at the Fermi level is 6.761 states/eV/cell.

***

Pick *P*: it beats the second-best structure by 524 meV per atom.